! Ho2Mg8Sc | Alexandria via LeMat-Bulk | PBE-GGA | optimized geometry; values from VASP
&SYSTEM
  ibrav = 0, nat = 11, ntyp = 3
/
ATOMIC_SPECIES
Ho 164.93 Ho.upf
Mg 24.30 Mg.upf
Sc 44.96 Sc.upf
CELL_PARAMETERS angstrom
7.885 -2.480 0.000
7.885 2.480 0.000
-2.258 0.000 6.864
ATOMIC_POSITIONS angstrom
Ho 3.192 0.000 0.976
Ho 10.320 0.000 5.888
Mg -0.079 0.000 1.527
Mg 0.742 0.000 4.457
Mg 3.801 0.000 4.180
Mg 6.391 0.000 0.331
Mg 7.120 0.000 6.533
Mg 9.711 0.000 2.684
Mg 12.770 0.000 2.407
Mg 13.590 0.000 5.337
Sc 6.756 0.000 3.432
! ΔH_f (0 K)   -0.021 eV per atom
! Density of states at the Fermi level   0.586 states/eV per atom



! Ta2NbTlO8 | Alexandria via LeMat-Bulk | PBE-GGA | optimized geometry; values from VASP
&SYSTEM
  ibrav = 0, nat = 12, ntyp = 4
/
ATOMIC_SPECIES
Ta 180.95 Ta.upf
Nb 92.91 Nb.upf
Tl 204.38 Tl.upf
O 16.00 O.upf
CELL_PARAMETERS angstrom
5.919 0.000 0.000
-2.960 5.126 0.000
0.000 0.000 7.636
ATOMIC_POSITIONS angstrom
Ta 0.000 3.418 1.784
Ta 2.960 1.709 5.852
Nb 0.000 0.000 0.000
Tl 0.000 0.000 3.818
O -0.007 1.620 1.177
O -1.553 4.323 1.177
O 1.399 0.816 6.459
O 0.000 3.418 3.566
O 2.960 1.709 4.070
O 1.561 4.310 1.177
O 4.513 0.804 6.459
O 2.967 3.507 6.459
! ΔE_f (raw)   -2416 meV per atom
! Density of states at the Fermi level   0.000 states/eV per atom



! AgPtW3 | Alexandria via LeMat-Bulk | PBE-GGA | optimized geometry; values from VASP
&SYSTEM
  ibrav = 0, nat = 5, ntyp = 3
/
ATOMIC_SPECIES
Ag 107.87 Ag.upf
Pt 195.08 Pt.upf
W 183.84 W.upf
CELL_PARAMETERS angstrom
4.787 0.000 0.000
0.000 4.787 0.000
0.000 0.000 4.787
ATOMIC_POSITIONS angstrom
Ag 0.000 0.000 0.000
Pt 2.393 2.393 2.393
W 0.000 2.393 2.393
W 2.393 0.000 2.393
W 2.393 2.393 0.000
! ΔH_f (0 K)   2.155 eV per atom
! Density of states at the Fermi level   1.074 states/eV per atom